Here is HfBi after structural relaxation from the Alexandria database. Energies are from PBE.

POSCAR file:
```
HfBi
1.0
-3.325 1.742 -1.545
-0.480 -2.671 -1.979
-4.584 -3.544 5.870
Hf Bi
2 2
Cartesian
-5.317 -4.758 3.412
-3.072 0.286 -1.066
-2.574 -2.633 -0.097
-5.816 -1.839 2.443
```

Summary:
For the formation energy, the calculation gives -0.18 eV/atom.

=====

Here is YThW4 after structural relaxation from the Alexandria database. Energies are from PBE.

POSCAR file:
```
YThW4
1.0
5.591 0.000 0.000
2.795 4.842 0.000
2.795 1.614 4.565
W Y Th
4 1 1
Cartesian
4.196 4.033 2.852
5.591 3.228 0.575
5.591 1.618 2.852
6.985 4.033 2.852
0.000 0.000 0.000
2.795 1.614 1.141
```

Summary:
For the formation energy, the calculation gives 0.14 eV/atom.

=====

Here is KCu3Te2 after structural relaxation from the Alexandria database. Energies are from PBE.

POSCAR file:
```
KCu3Te2
1.0
-5.040 3.515 5.892
-3.078 0.299 7.931
4.476 5.770 4.791
Cu K Te
6 2 4
Cartesian
-5.666 5.948 14.828
-3.286 5.707 12.159
-0.355 3.877 6.455
2.024 3.636 3.786
-2.923 4.547 9.980
-0.719 5.037 8.634
-6.805 3.587 12.201
3.164 5.998 6.413
-3.378 7.052 14.369
-2.805 3.216 7.769
-0.263 2.532 4.245
-0.837 6.368 10.844
```

Summary:
The calculation puts the uncorrected formation energy at -0.33 eV/atom.

=====

Here is RbSr2TlI6 after structural relaxation from the Alexandria database. Energies are from PBE.

POSCAR file:
```
RbSr2TlI6
1.0
8.791 0.000 0.001
4.395 7.613 0.000
4.396 2.538 7.523
I Sr Tl Rb
6 2 1 1
Cartesian
10.438 3.102 5.562
11.581 5.507 1.763
7.022 7.275 1.762
9.676 7.489 5.562
7.770 2.444 1.762
6.259 4.636 5.562
4.396 2.538 7.286
8.791 5.075 3.445
4.395 2.538 0.512
13.186 7.613 4.518
```

Summary:
The calculation puts the uncorrected formation energy at -1.44 eV/atom.

=====

Here is Li2Si4Pt5 after structural relaxation from the Alexandria database. Energies are from PBE.

POSCAR file:
```
Li2Si4Pt5
1.0
5.458 0.000 0.000
2.729 4.758 0.000
2.729 0.000 7.405
Si Pt Li
4 5 2
Cartesian
2.729 1.509 1.921
5.458 1.509 5.484
8.186 3.249 5.484
5.458 3.249 1.921
6.822 2.379 3.703
2.729 0.000 0.000
4.093 2.379 3.703
4.093 2.379 0.000
1.364 2.379 0.000
5.458 0.000 1.527
2.729 0.000 5.879
```

Summary:
The calculation puts the uncorrected formation energy at -0.58 eV/atom.

=====

Here is RbBeCd2 after structural relaxation from the Alexandria database. Energies are from PBE.

POSCAR file:
```
RbBeCd2
1.0
6.134 0.000 0.000
0.000 6.134 0.000
3.067 3.067 7.407
Rb Cd Be
2 4 2
Cartesian
0.000 0.000 0.000
6.134 3.067 3.703
3.071 1.533 1.852
4.600 6.130 5.555
7.667 6.138 5.555
3.063 4.600 1.852
3.067 3.067 0.000
3.067 6.134 3.703
```

Summary:
For the formation energy, the calculation gives 0.32 eV/atom.

=====

no.,total moment (μB per formula unit)
1,0.00
2,0.00
3,0.00
4,0.00
5,0.00
6,0.00